# CsInBr6 | Alexandria via LeMat-Bulk | PBE-GGA | optimized geometry
data_CsInBr6
_symmetry_space_group_name_H-M 'R -3 m'
_symmetry_Int_Tables_number 166
_symmetry_space_group_name_Hall '-R 3 2"'
_cell_length_a 10.0485
_cell_length_b 10.0485
_cell_length_c 10.3570
_cell_angle_alpha 90.00
_cell_angle_beta 90.00
_cell_angle_gamma 120.00
loop_
_atom_site_label
_atom_site_fract_x
_atom_site_fract_y
_atom_site_fract_z
Cs1 0.0000 0.0000 0.0000
In1 0.0000 0.0000 0.5000
Br1 0.0891 0.5445 0.3282
# **Uncorrected formation energy**: -0.677 eV per atom
# **Crystal system**: trigonal